Compound: LiCe2S2O2
Source: Alexandria
Functional: GGA-PBE
Structure: relaxed

a = 3.8038 Å, b = 5.7713 Å, c = 6.4316 Å
α = 67.81°, β = 72.80°, γ = 70.76°
Element x y z (fractional)
Li 0.0000 0.0000 0.0000
Ce 0.1914 0.3527 0.2644
Ce 0.8086 0.6473 0.7356
S 0.5671 0.2029 0.6628
S 0.4329 0.7971 0.3372
O 0.2003 0.6845 0.9150
O 0.7997 0.3155 0.0850

Properties
Space-group type: No. 12
Crystal system: monoclinic
ρ in g/cm3: 5.26
Formation energy from raw total energies in eV/atom: -2.5175
DOS at the Fermi energy in states/eV/atom: 1.213